[1]
Computed, not measured: a relaxed Rb2TbAsSe4 crystal at the GGA-PBE level of DFT.

The structure in CIF format:
```
data_Rb2TbAsSe4
_chemical_formula_sum 'Rb8 Tb4 As4 Se16'
_space_group_name_H-M_alt 'I m m a'
_space_group_IT_number 74
_space_group_name_Hall '-I 2b 2'
_cell_length_a 8.752
_cell_length_b 8.787
_cell_length_c 12.407
_cell_angle_alpha 90.00
_cell_angle_beta 90.00
_cell_angle_gamma 90.00
loop_
_atom_site_label
_atom_site_fract_x
_atom_site_fract_y
_atom_site_fract_z
Rb1 0.000 0.000 0.000
Rb2 0.250 0.250 0.250
Tb1 0.000 0.000 0.500
As1 0.250 0.250 0.750
Se1 0.000 0.044 0.735
Se2 0.218 0.250 0.523
```

Calculated values
Calculated total energy, eV per atom: -4.191
Magnetic moment, μB/atom: 0.000
Uncorrected formation energy, eV/atom: -1.047

[2]
Computed, not measured: a relaxed Ca2Ag9Hg crystal at the GGA-PBE level of DFT.

The structure in CIF format:
```
data_Ca2Ag9Hg
_chemical_formula_sum 'Ca6 Ag27 Hg3'
_space_group_name_H-M_alt 'R -3 m'
_space_group_IT_number 166
_space_group_name_Hall '-R 3 2"'
_cell_length_a 5.6864
_cell_length_b 5.6864
_cell_length_c 27.7565
_cell_angle_alpha 90.00
_cell_angle_beta 90.00
_cell_angle_gamma 120.00
loop_
_atom_site_label
_atom_site_fract_x
_atom_site_fract_y
_atom_site_fract_z
Ca1 0.0000 0.0000 0.1360
Ag1 0.0000 0.0000 0.3333
Ag2 0.0000 0.0000 0.5000
Ag3 0.0041 0.5021 0.9155
Hg1 0.0000 0.0000 0.0000
```

Calculated values
Energy of formation from the pure elements, meV per atom: -83.3
Calculated total energy, eV per atom: -2.580
Magnetic moment, μB/atom: 0.000

[3]
Computed, not measured: a relaxed Y3Ni7As4 crystal at the GGA-PBE level of DFT.

The structure in CIF format:
```
data_Y3Ni7As4
_chemical_formula_sum 'Y6 Ni14 As8'
_space_group_name_H-M_alt 'C 1 2/m 1'
_space_group_IT_number 12
_cell_length_a 14.897
_cell_length_b 3.967
_cell_length_c 9.010
_cell_angle_alpha 90.00
_cell_angle_beta 125.80
_cell_angle_gamma 90.00
loop_
_space_group_symop_operation_xyz
'x,y,z'
'-x,-y,-z'
'-x,y,-z'
'x,-y,z'
'x+1/2,y+1/2,z'
'-x+1/2,-y+1/2,-z'
'-x+1/2,y+1/2,-z'
'x+1/2,-y+1/2,z'
loop_
_atom_site_label
_atom_site_fract_x
_atom_site_fract_y
_atom_site_fract_z
Y1 0.000 0.000 0.000
Y2 0.178 0.500 0.669
Ni1 0.000 0.000 0.500
Ni2 0.004 0.500 0.285
Ni3 0.143 0.000 0.406
Ni4 0.189 0.500 0.028
As1 0.113 0.000 0.829
As2 0.165 0.500 0.282
```

Calculated values
Energy of formation from the pure elements, meV per atom: -737.3
Calculated total energy, eV per atom: -6.342
Magnetic moment, μB/atom: 0.000

[4]
Computed, not measured: a relaxed Sr4LiIn crystal at the GGA-PBE level of DFT.

The structure in CIF format:
```
data_Sr4LiIn
_chemical_formula_sum 'Sr4 Li1 In1'
_space_group_name_H-M_alt 'P 4/m m m'
_space_group_IT_number 123
_space_group_name_Hall '-P 4 2'
_cell_length_a 4.204
_cell_length_b 4.204
_cell_length_c 14.228
_cell_angle_alpha 90.00
_cell_angle_beta 90.00
_cell_angle_gamma 90.00
loop_
_atom_site_label
_atom_site_fract_x
_atom_site_fract_y
_atom_site_fract_z
Sr1 0.000 0.000 0.134
Sr2 0.500 0.500 0.353
Li1 0.000 0.000 0.500
In1 0.500 0.500 0.000
```

Calculated values
Energy of formation from the pure elements, meV per atom: -135.7
Calculated total energy, eV per atom: -2.032
Magnetic moment, μB/atom: 0.000
ΔE to the lowest computed polymorph, meV/atom: 0

[5]
Computed, not measured: a relaxed NiPt2Br crystal at the GGA-PBE level of DFT.

The structure in CIF format:
```
data_NiPt2Br
_chemical_formula_sum 'Ni3 Pt6 Br3'
_space_group_name_H-M_alt 'R 3 m'
_space_group_IT_number 160
_space_group_name_Hall 'R 3 -2"'
_cell_length_a 3.0081
_cell_length_b 3.0081
_cell_length_c 25.0955
_cell_angle_alpha 90.00
_cell_angle_beta 90.00
_cell_angle_gamma 120.00
loop_
_atom_site_label
_atom_site_fract_x
_atom_site_fract_y
_atom_site_fract_z
Ni1 0.0000 0.0000 0.0000
Pt1 0.0000 0.0000 0.4938
Pt2 0.0000 0.0000 0.7401
Br1 0.0000 0.0000 0.2654
```

Calculated values
Calculated total energy, eV per atom: -4.551
Magnetic moment, μB/atom: 0.000
Uncorrected formation energy, eV/atom: 0.333
ΔE to the lowest computed polymorph, meV/atom: 44

[6]
Computed, not measured: a relaxed TbErTh2Te5 crystal at the GGA-PBE level of DFT.

The structure in CIF format:
```
data_TbErTh2Te5
_chemical_formula_sum 'Tb1 Er1 Th2 Te5'
_space_group_name_H-M_alt 'P 4/m m m'
_space_group_IT_number 123
_space_group_name_Hall '-P 4 2'
_cell_length_a 5.397
_cell_length_b 5.397
_cell_length_c 11.582
_cell_angle_alpha 90.00
_cell_angle_beta 90.00
_cell_angle_gamma 90.00
loop_
_atom_site_label
_atom_site_fract_x
_atom_site_fract_y
_atom_site_fract_z
Tb1 0.000 0.000 0.000
Er1 0.000 0.000 0.500
Th1 0.500 0.500 0.338
Te1 0.000 0.000 0.247
Te2 0.000 0.500 0.500
Te3 0.500 0.500 0.000
```

Calculated values
Calculated total energy, eV per atom: -4.958
Magnetic moment, μB/atom: 0.000
Uncorrected formation energy, eV/atom: -0.543

[7]
Computed, not measured: a relaxed ErPa6 crystal at the GGA-PBE level of DFT.

The structure in CIF format:
```
data_ErPa6
_chemical_formula_sum 'Er2 Pa12'
_space_group_name_H-M_alt 'I m -3 m'
_space_group_IT_number 229
_space_group_name_Hall '-I 4 2 3'
_cell_length_a 7.641
_cell_length_b 7.641
_cell_length_c 7.641
_cell_angle_alpha 90.00
_cell_angle_beta 90.00
_cell_angle_gamma 90.00
loop_
_atom_site_label
_atom_site_fract_x
_atom_site_fract_y
_atom_site_fract_z
Er1 0.000 0.000 0.000
Pa1 0.000 0.250 0.500
```

Calculated values
Energy of formation from the pure elements, meV per atom: 1414.3
Calculated total energy, eV per atom: -7.377
Magnetic moment, μB/atom: 0.963

[8]
Computed, not measured: a relaxed LaZnIr crystal at the GGA-PBE level of DFT.

The structure in CIF format:
```
data_LaZnIr
_chemical_formula_sum 'La2 Zn2 Ir2'
_space_group_name_H-M_alt 'I 4 m m'
_space_group_IT_number 107
_space_group_name_Hall 'I 4 -2'
_cell_length_a 3.357
_cell_length_b 3.357
_cell_length_c 11.075
_cell_angle_alpha 90.00
_cell_angle_beta 90.00
_cell_angle_gamma 90.00
loop_
_atom_site_label
_atom_site_fract_x
_atom_site_fract_y
_atom_site_fract_z
La1 0.000 0.000 0.000
Zn1 0.000 0.000 0.717
Ir1 0.000 0.000 0.328
```

Calculated values
Energy of formation from the pure elements, meV per atom: -348.4
Calculated total energy, eV per atom: -5.369
Magnetic moment, μB/atom: 0.000

[9]
Computed, not measured: a relaxed DyHf2Ir2 crystal at the GGA-PBE level of DFT.

The structure in CIF format:
```
data_DyHf2Ir2
_chemical_formula_sum 'Dy2 Hf4 Ir4'
_space_group_name_H-M_alt 'I 4/m m m'
_space_group_IT_number 139
_space_group_name_Hall '-I 4 2'
_cell_length_a 4.453
_cell_length_b 4.453
_cell_length_c 11.011
_cell_angle_alpha 90.00
_cell_angle_beta 90.00
_cell_angle_gamma 90.00
loop_
_atom_site_label
_atom_site_fract_x
_atom_site_fract_y
_atom_site_fract_z
Dy1 0.000 0.000 0.000
Hf1 0.000 0.500 0.250
Ir1 0.000 0.000 0.384
```

Calculated values
Energy of formation from the pure elements, meV per atom: -824.8
Calculated total energy, eV per atom: -9.271
Magnetic moment, μB/atom: 0.000

[10]
Computed, not measured: a relaxed TlTe2Os crystal at the GGA-PBE level of DFT.

The structure in CIF format:
```
data_TlTe2Os
_chemical_formula_sum 'Tl2 Te4 Os2'
_space_group_name_H-M_alt 'I m m 2'
_space_group_IT_number 44
_cell_length_a 3.172
_cell_length_b 3.587
_cell_length_c 19.439
_cell_angle_alpha 90.00
_cell_angle_beta 90.00
_cell_angle_gamma 90.00
loop_
_space_group_symop_operation_xyz
'x,y,z'
'-x,-y,z'
'-x,y,z'
'x,-y,z'
'x+1/2,y+1/2,z+1/2'
'-x+1/2,-y+1/2,z+1/2'
'-x+1/2,y+1/2,z+1/2'
'x+1/2,-y+1/2,z+1/2'
loop_
_atom_site_label
_atom_site_fract_x
_atom_site_fract_y
_atom_site_fract_z
Tl1 0.000 0.000 0.000
Te1 0.000 0.000 0.342
Te2 0.000 0.500 0.673
Os1 0.000 0.500 0.242
```

Calculated values
Calculated total energy, eV per atom: -4.736
Magnetic moment, μB/atom: 0.000
Uncorrected formation energy, eV/atom: 0.234
ΔE to the lowest computed polymorph, meV/atom: 124

[11]
Computed, not measured: a relaxed CsTaNiS4 crystal at the GGA-PBE level of DFT.

The structure in CIF format:
```
data_CsTaNiS4
_chemical_formula_sum 'Cs2 Ta2 Ni2 S8'
_space_group_name_H-M_alt 'P 1 21/m 1'
_space_group_IT_number 11
_cell_length_a 5.901
_cell_length_b 6.841
_cell_length_c 8.725
_cell_angle_alpha 90.00
_cell_angle_beta 95.41
_cell_angle_gamma 90.00
loop_
_space_group_symop_operation_xyz
'x,y,z'
'-x,-y,-z'
'-x,y+1/2,-z'
'x,-y+1/2,z'
loop_
_atom_site_label
_atom_site_fract_x
_atom_site_fract_y
_atom_site_fract_z
Cs1 0.216 0.250 0.052
Ta1 0.171 0.750 0.438
Ni1 0.348 0.250 0.638
S1 0.104 0.000 0.662
S2 0.329 0.750 0.200
S3 0.472 0.250 0.413
```

Calculated values
Calculated total energy, eV per atom: -5.769
Magnetic moment, μB/atom: 0.277
Uncorrected formation energy, eV/atom: -0.769

[12]
Computed, not measured: a relaxed CaIr2 crystal at the GGA-PBE level of DFT.

The structure in CIF format:
```
data_CaIr2
_chemical_formula_sum 'Ca4 Ir8'
_space_group_name_H-M_alt 'C 1 2/m 1'
_space_group_IT_number 12
_cell_length_a 9.258
_cell_length_b 2.875
_cell_length_c 8.851
_cell_angle_alpha 90.00
_cell_angle_beta 113.97
_cell_angle_gamma 90.00
loop_
_space_group_symop_operation_xyz
'x,y,z'
'-x,-y,-z'
'-x,y,-z'
'x,-y,z'
'x+1/2,y+1/2,z'
'-x+1/2,-y+1/2,-z'
'-x+1/2,y+1/2,-z'
'x+1/2,-y+1/2,z'
loop_
_atom_site_label
_atom_site_fract_x
_atom_site_fract_y
_atom_site_fract_z
Ca1 0.167 0.000 0.115
Ir1 0.004 0.500 0.288
Ir2 0.163 0.000 0.560
```

Calculated values
Energy of formation from the pure elements, meV per atom: 69.5
Calculated total energy, eV per atom: -6.505
Magnetic moment, μB/atom: 0.000